Here is a crystal of TeOsPt2 relaxed with PBEsol from Alexandria. Energies are from SCAN.

Lattice parameters (Å, degrees): 6.394 6.394 6.394 90.00 90.00 90.00
Space group F-43m (No. 216)
Symmetry-distinct sites (fractional):
Te 0.000 0.000 0.000 (multiplicity 4)
Os 0.250 0.250 0.750 (multiplicity 4)
Pt 0.000 0.000 0.500 (multiplicity 4)
Pt 0.250 0.250 0.250 (multiplicity 4)

Output
- total moment (μB per formula unit) = 0.002
- uncorrected formation energy (eV/atom) = 0.52

Here is a crystal of TeOsPt2 relaxed with PBEsol from Alexandria. Energies are from SCAN.

Lattice parameters (Å, degrees): 3.939 3.939 4.182 90.00 90.00 90.00
Space group P4/mmm (No. 123)
Symmetry-distinct sites (fractional):
Te 0.000 0.000 0.000 (multiplicity 1)
Os 0.500 0.500 0.000 (multiplicity 1)
Pt 0.000 0.500 0.500 (multiplicity 2)

Output
- total moment (μB per formula unit) = 0.000
- uncorrected formation energy (eV/atom) = 0.52

Here is a crystal of Te3OsPt relaxed with PBEsol from Alexandria. Energies are from SCAN.

Lattice parameters (Å, degrees): 5.074 5.074 5.074 90.00 90.00 90.00
Space group Pm-3m (No. 221)
Symmetry-distinct sites (fractional):
Te 0.000 0.000 0.500 (multiplicity 3)
Os 0.000 0.000 0.000 (multiplicity 1)
Pt 0.500 0.500 0.500 (multiplicity 1)

Output
- total moment (μB per formula unit) = 0.000
- uncorrected formation energy (eV/atom) = 1.18

Here is a crystal of Te2OsPt relaxed with PBEsol from Alexandria. Energies are from SCAN.

Lattice parameters (Å, degrees): 3.872 3.968 12.372 90.00 90.00 90.00
Space group Immm (No. 71)
Symmetry-distinct sites (fractional):
Te 0.000 0.000 0.146 (multiplicity 4)
Os 0.000 0.500 0.500 (multiplicity 2)
Pt 0.000 0.500 0.000 (multiplicity 2)

Output
- total moment (μB per formula unit) = 0.798
- energy above the lowest structure with this stoichiometry (meV per atom) = 0
- uncorrected formation energy (eV/atom) = 0.16

Here is a crystal of TlOsPt2 relaxed with PBEsol from Alexandria. Energies are from SCAN.

Lattice parameters (Å, degrees): 2.772 4.876 9.722 90.00 90.00 90.00
Space group Imm2 (No. 44)
Symmetry-distinct sites (fractional):
Tl 0.000 0.000 0.000 (multiplicity 2)
Os 0.000 0.500 0.758 (multiplicity 2)
Pt 0.000 0.000 0.488 (multiplicity 2)
Pt 0.000 0.500 0.240 (multiplicity 2)

Output
- ΔH_f (0 K) (eV/f.u.) = 1.933
- total moment (μB per formula unit) = 0.000
- energy above the lowest structure with this stoichiometry (meV per atom) = 53

Here is a crystal of TlOsPt2 relaxed with PBEsol from Alexandria. Energies are from SCAN.

Lattice parameters (Å, degrees): 9.097 2.845 5.138 90.00 100.43 90.00
Space group Cm (No. 8)
Symmetry-distinct sites (fractional):
Tl 0.000 0.000 0.000 (multiplicity 2)
Os 0.248 0.500 0.298 (multiplicity 2)
Pt 0.247 0.000 0.744 (multiplicity 2)
Pt 0.492 0.000 0.490 (multiplicity 2)

Output
- ΔH_f (0 K) (eV/f.u.) = 1.720
- total moment (μB per formula unit) = 0.000
- energy above the lowest structure with this stoichiometry (meV per atom) = 0

Here is a crystal of TlOsPt2 relaxed with PBEsol from Alexandria. Energies are from SCAN.

Lattice parameters (Å, degrees): 6.410 6.410 6.410 90.00 90.00 90.00
Space group Fm-3m (No. 225)
Symmetry-distinct sites (fractional):
Tl 0.000 0.000 0.000 (multiplicity 4)
Os 0.000 0.000 0.500 (multiplicity 4)
Pt 0.250 0.250 0.250 (multiplicity 8)

Output
- ΔH_f (0 K) (eV/f.u.) = 2.605
- total moment (μB per formula unit) = 1.828
- energy above the lowest structure with this stoichiometry (meV per atom) = 221

Here is a crystal of TlOsPt2 relaxed with PBEsol from Alexandria. Energies are from SCAN.

Lattice parameters (Å, degrees): 4.051 4.051 7.873 90.00 90.00 90.00
Space group I4/mmm (No. 139)
Symmetry-distinct sites (fractional):
Tl 0.000 0.000 0.000 (multiplicity 2)
Os 0.000 0.000 0.500 (multiplicity 2)
Pt 0.000 0.500 0.250 (multiplicity 4)

Output
- ΔH_f (0 K) (eV/f.u.) = 2.282
- total moment (μB per formula unit) = 0.006
- energy above the lowest structure with this stoichiometry (meV per atom) = 140

Here is a crystal of TlOsPt2 relaxed with PBEsol from Alexandria. Energies are from SCAN.

Lattice parameters (Å, degrees): 2.826 4.902 9.648 90.00 90.00 90.00
Space group Cmmm (No. 65)
Symmetry-distinct sites (fractional):
Tl 0.000 0.000 0.000 (multiplicity 2)
Os 0.000 0.000 0.500 (multiplicity 2)
Pt 0.000 0.500 0.266 (multiplicity 4)

Output
- ΔH_f (0 K) (eV/f.u.) = 2.232
- total moment (μB per formula unit) = 0.889
- energy above the lowest structure with this stoichiometry (meV per atom) = 128

Here is a crystal of Tl2OsPt relaxed with PBEsol from Alexandria. Energies are from SCAN.

Lattice parameters (Å, degrees): 3.137 5.188 9.062 90.00 90.00 90.00
Space group Cmmm (No. 65)
Symmetry-distinct sites (fractional):
Tl 0.000 0.000 0.250 (multiplicity 4)
Os 0.000 0.500 0.000 (multiplicity 2)
Pt 0.000 0.500 0.500 (multiplicity 2)

Output
- ΔH_f (0 K) (eV/f.u.) = 3.253
- total moment (μB per formula unit) = 0.000
- energy above the lowest structure with this stoichiometry (meV per atom) = 189

Here is a crystal of Tl2OsPt relaxed with PBEsol from Alexandria. Energies are from SCAN.

Lattice parameters (Å, degrees): 3.216 5.119 8.935 90.00 90.00 90.00
Space group Immm (No. 71)
Symmetry-distinct sites (fractional):
Tl 0.000 0.000 0.249 (multiplicity 4)
Os 0.000 0.500 0.000 (multiplicity 2)
Pt 0.000 0.500 0.500 (multiplicity 2)

Output
- ΔH_f (0 K) (eV/f.u.) = 3.352
- total moment (μB per formula unit) = 0.000
- energy above the lowest structure with this stoichiometry (meV per atom) = 214

Here is a crystal of Tl2OsPt relaxed with PBEsol from Alexandria. Energies are from SCAN.

Lattice parameters (Å, degrees): 2.940 4.553 11.823 90.00 90.00 90.00
Space group Imm2 (No. 44)
Symmetry-distinct sites (fractional):
Tl 0.000 0.000 0.000 (multiplicity 2)
Tl 0.000 0.500 0.216 (multiplicity 2)
Os 0.000 0.500 0.713 (multiplicity 2)
Pt 0.000 0.000 0.401 (multiplicity 2)

Output
- ΔH_f (0 K) (eV/f.u.) = 2.496
- total moment (μB per formula unit) = 0.000
- energy above the lowest structure with this stoichiometry (meV per atom) = 0

Here is a crystal of TlOsPt2 relaxed with PBEsol from Alexandria. Energies are from SCAN.

Lattice parameters (Å, degrees): 2.821 4.913 9.587 90.00 90.00 90.00
Space group Cmm2 (No. 35)
Symmetry-distinct sites (fractional):
Tl 0.000 0.000 0.000 (multiplicity 2)
Os 0.000 0.500 0.264 (multiplicity 2)
Pt 0.000 0.000 0.494 (multiplicity 2)
Pt 0.000 0.500 0.738 (multiplicity 2)

Output
- ΔH_f (0 K) (eV/f.u.) = 2.628
- total moment (μB per formula unit) = 0.000
- energy above the lowest structure with this stoichiometry (meV per atom) = 227

Here is a crystal of Os2PtW relaxed with PBEsol from Alexandria. Energies are from SCAN.

Lattice parameters (Å, degrees): 3.897 3.897 3.810 90.00 90.00 90.00
Space group P4/mmm (No. 123)
Symmetry-distinct sites (fractional):
Os 0.000 0.500 0.000 (multiplicity 2)
Pt 0.000 0.000 0.500 (multiplicity 1)
W 0.500 0.500 0.500 (multiplicity 1)

Output
- ΔH_f (0 K) (eV/f.u.) = -0.552
- total moment (μB per formula unit) = 0.000
- energy above the lowest structure with this stoichiometry (meV per atom) = 0

Here is a crystal of OsPtW2 relaxed with PBEsol from Alexandria. Energies are from SCAN.

Lattice parameters (Å, degrees): 2.7676 2.7676 27.4206 90.00 90.00 120.00
Space group R3m (No. 160, hexagonal axes)
Symmetry-distinct sites (fractional):
Os 0.0000 0.0000 0.0000 (multiplicity 3)
Pt 0.0000 0.0000 0.7523 (multiplicity 3)
W 0.0000 0.0000 0.2558 (multiplicity 3)
W 0.0000 0.0000 0.5004 (multiplicity 3)

Output
- ΔH_f (0 K) (eV/f.u.) = 0.563
- total moment (μB per formula unit) = 0.000
- energy above the lowest structure with this stoichiometry (meV per atom) = 343

Here is a crystal of OsPtW2 relaxed with PBEsol from Alexandria. Energies are from SCAN.

Lattice parameters (Å, degrees): 5.498 7.872 2.752 90.00 90.00 90.00
Space group Cmmm (No. 65)
Symmetry-distinct sites (fractional):
Os 0.000 0.000 0.000 (multiplicity 2)
Pt 0.000 0.500 0.000 (multiplicity 2)
W 0.250 0.250 0.500 (multiplicity 4)

Output
- ΔH_f (0 K) (eV/f.u.) = -0.605
- total moment (μB per formula unit) = 0.000
- energy above the lowest structure with this stoichiometry (meV per atom) = 51